No. 1
Entry from Alexandria via LeMat-Bulk: crystalline TlZnW2 at its relaxed geometry (PBE).

abc: 5.4548 5.4548 5.4548
angles: 145.83 130.09 61.87
Element x y z (fractional)
Tl: 0.2500 0.7500 0.5000
W: 0.9929 0.9929 0.0000
W: 0.5071 0.5071 0.0000
Zn: 0.7500 0.2500 0.5000

Values from the calculation:
Offset from the most stable computed form, kcal/mol of atoms: 4.75
Space-group type: Immm

=====

No. 2
Entry from Alexandria via LeMat-Bulk: crystalline TlZn2W at its relaxed geometry (PBE).

abc: 4.6451 4.6451 4.6451
angles: 60.00 60.00 60.00
Site moments in Bohr magnetons follow the coordinates.
Element x y z (fractional)
Tl: 0.5000 0.5000 0.5000  -0.01
Zn: 0.2500 0.2500 0.2500  -0.01
Zn: 0.7500 0.7500 0.7500  -0.01
W: 0.0000 0.0000 0.0000  1.06

Values from the calculation:
Offset from the most stable computed form, kcal/mol of atoms: 11.39
Space-group type: Fm-3m

=====

Number 1: total magnetic moment 0.000 μB/atom. Number 2: total magnetic moment 0.321 μB/atom.